No. 1
SrZnAu6: relaxed, PBE.

Properties
Calculated formation energy, eV per atom: -0.283
Total energy, eV per atom: -3.110

```
data_SrZnAu6
_chemical_formula_sum 'Sr3 Zn3 Au18'
_space_group_name_H-M_alt 'R -3'
_space_group_IT_number 148
_space_group_name_Hall '-R 3'
_cell_length_a 6.9570
_cell_length_b 6.9570
_cell_length_c 12.4103
_cell_angle_alpha 90.00
_cell_angle_beta 90.00
_cell_angle_gamma 120.00
loop_
_atom_site_label
_atom_site_type_symbol
_atom_site_fract_x
_atom_site_fract_y
_atom_site_fract_z
Sr1 Sr 0.0000 0.0000 0.0000
Zn1 Zn 0.0000 0.0000 0.5000
Au1 Au 0.0717 0.2606 0.2290
```

---

No. 2
Sr2ZnAu: relaxed, PBE.

Properties
Calculated formation energy, eV per atom: -0.366
Total energy, eV per atom: -2.344

```
data_Sr2ZnAu
_chemical_formula_sum 'Sr4 Zn2 Au2'
_space_group_name_H-M_alt 'I m m 2'
_space_group_IT_number 44
_space_group_name_Hall 'I 2 -2'
_cell_length_a 3.9584
_cell_length_b 5.2019
_cell_length_c 11.4120
_cell_angle_alpha 90.00
_cell_angle_beta 90.00
_cell_angle_gamma 90.00
loop_
_atom_site_label
_atom_site_type_symbol
_atom_site_fract_x
_atom_site_fract_y
_atom_site_fract_z
Sr1 Sr 0.0000 0.0000 0.0000
Sr2 Sr 0.0000 0.5000 0.2104
Zn1 Zn 0.0000 0.5000 0.7861
Au1 Au 0.0000 0.0000 0.4477
```